# Sr2SnC, relaxed, DFT PBE-GGA
data_Sr2SnC
_cell_length_a 7.6191
_cell_length_b 7.6191
_cell_length_c 7.6191
_cell_angle_alpha 90.00
_cell_angle_beta 90.00
_cell_angle_gamma 90.00
_space_group_name_H-M_alt 'F m -3 m'
_space_group_IT_number 225
_space_group_name_Hall '-F 4 2 3'
loop_
_atom_site_label
_atom_site_fract_x
_atom_site_fract_y
_atom_site_fract_z
Sr1 0.2500 0.2500 0.2500
Sn1 0.0000 0.0000 0.0000
C1 0.0000 0.0000 0.5000
# Calculated volume = 27.644 Å³ per atom
# Final energy = -3.460 eV per atom
# M_tot = 0.00 μB/cell
# D(E_F) = 0.730 states/eV per atom
# Crystal system = cubic
# Calculated formation energy = 0.6878 eV/atom

# TbTmMg2Pd4, relaxed, DFT PBE-GGA
data_TbTmMg2Pd4
_cell_length_a 4.7545
_cell_length_b 4.7545
_cell_length_c 23.3711
_cell_angle_alpha 90.00
_cell_angle_beta 90.00
_cell_angle_gamma 120.00
_space_group_name_H-M_alt 'R -3 m'
_space_group_IT_number 166
_space_group_name_Hall '-R 3 2"'
loop_
_atom_site_label
_atom_site_fract_x
_atom_site_fract_y
_atom_site_fract_z
Tb1 0.0000 0.0000 0.0000
Tm1 0.0000 0.0000 0.5000
Mg1 0.0000 0.0000 0.2493
Pd1 0.0000 0.0000 0.1258
Pd2 0.0000 0.0000 0.3769
# Calculated volume = 19.064 Å³ per atom
# Final energy = -4.950 eV per atom
# M_tot = 0.00 μB/cell
# D(E_F) = 0.421 states/eV per atom
# Crystal system = trigonal
# Calculated formation energy = -0.8175 eV/atom

# BaSb2Cl, relaxed, DFT PBE-GGA
data_BaSb2Cl
_cell_length_a 5.9217
_cell_length_b 5.9217
_cell_length_c 3.7208
_cell_angle_alpha 90.00
_cell_angle_beta 90.00
_cell_angle_gamma 90.00
_space_group_name_H-M_alt 'P 4/m m m'
_space_group_IT_number 123
_space_group_name_Hall '-P 4 2'
loop_
_atom_site_label
_atom_site_fract_x
_atom_site_fract_y
_atom_site_fract_z
Ba1 0.0000 0.0000 0.0000
Sb1 0.0000 0.5000 0.5000
Cl1 0.5000 0.5000 0.0000
# Calculated volume = 32.620 Å³ per atom
# Final energy = -3.292 eV per atom
# M_tot = 0.00 μB/cell
# Raw formation energy = -0.2884 eV/atom
# D(E_F) = 0.642 states/eV per atom
# Crystal system = tetragonal
# Energy relative to the lowest polymorph listed for this composition = 732.5 meV/atom

# Ba4NiAu, relaxed, DFT PBE-GGA
data_Ba4NiAu
_cell_length_a 10.1315
_cell_length_b 16.5166
_cell_length_c 7.7940
_cell_angle_alpha 90.00
_cell_angle_beta 127.45
_cell_angle_gamma 90.00
_space_group_name_H-M_alt 'C 1 2/c 1'
_space_group_IT_number 15
loop_
_space_group_symop_operation_xyz
'x,y,z'
'-x,-y,-z'
'-x,y,-z+1/2'
'x,-y,z+1/2'
'x+1/2,y+1/2,z'
'-x+1/2,-y+1/2,-z'
'-x+1/2,y+1/2,-z+1/2'
'x+1/2,-y+1/2,z+1/2'
loop_
_atom_site_label
_atom_site_fract_x
_atom_site_fract_y
_atom_site_fract_z
Ba1 0.1530 0.2056 0.1482
Ba2 0.2459 0.4610 0.2613
Ni1 0.0000 0.0727 0.2500
Au1 0.0000 0.3729 0.7500
# Calculated volume = 43.142 Å³ per atom
# Final energy = -2.998 eV per atom
# M_tot = 0.00 μB/cell
# D(E_F) = 0.836 states/eV per atom
# Crystal system = monoclinic
# Energy relative to the lowest polymorph listed for this composition = 0.0 meV/atom
# Calculated formation energy = -0.2059 eV/atom

# MoPtPb, relaxed, DFT PBE-GGA
data_MoPtPb
_cell_length_a 3.0390
_cell_length_b 3.0390
_cell_length_c 12.4673
_cell_angle_alpha 90.00
_cell_angle_beta 90.00
_cell_angle_gamma 90.00
_space_group_name_H-M_alt 'I 4 m m'
_space_group_IT_number 107
_space_group_name_Hall 'I 4 -2'
loop_
_atom_site_label
_atom_site_fract_x
_atom_site_fract_y
_atom_site_fract_z
Mo1 0.0000 0.0000 0.0000
Pt1 0.0000 0.0000 0.3701
Pb1 0.0000 0.0000 0.6804
# Calculated volume = 19.190 Å³ per atom
# Final energy = -6.620 eV per atom
# M_tot = 0.00 μB/cell
# D(E_F) = 0.225 states/eV per atom
# Crystal system = tetragonal
# Energy relative to the lowest polymorph listed for this composition = 0.0 meV/atom
# Calculated formation energy = 0.2405 eV/atom

# AcUP2, relaxed, DFT PBE-GGA
data_AcUP2
_cell_length_a 4.1320
_cell_length_b 4.1320
_cell_length_c 20.9563
_cell_angle_alpha 90.00
_cell_angle_beta 90.00
_cell_angle_gamma 120.00
_space_group_name_H-M_alt 'R -3 m'
_space_group_IT_number 166
_space_group_name_Hall '-R 3 2"'
loop_
_atom_site_label
_atom_site_fract_x
_atom_site_fract_y
_atom_site_fract_z
Ac1 0.0000 0.0000 0.0000
U1 0.0000 0.0000 0.5000
P1 0.0000 0.0000 0.2386
# Calculated volume = 25.821 Å³ per atom
# Final energy = -7.703 eV per atom
# M_tot = 6.81 μB/cell
# D(E_F) = 1.338 states/eV per atom
# Crystal system = trigonal
# Energy relative to the lowest polymorph listed for this composition = 0.0 meV/atom
# Calculated formation energy = -1.1492 eV/atom